(1)
# KPaNiSe3, optimized geometry, DFT PBE
# E_form (uncorrected): -1216 meV per atom
# SG: No. 63
# Energy: -68.25 eV for the cell shown
data_KPaNiSe3
_chemical_formula_sum 'K2 Pa2 Ni2 Se6'
_cell_length_a 7.770
_cell_length_b 7.770
_cell_length_c 10.395
_cell_angle_alpha 90.00
_cell_angle_beta 90.00
_cell_angle_gamma 149.91
_symmetry_space_group_name_H-M 'P 1'
_symmetry_Int_Tables_number 1
_symmetry_space_group_name_Hall 'P 1'
loop_
_atom_site_label
_atom_site_type_symbol
_atom_site_fract_x
_atom_site_fract_y
_atom_site_fract_z
K1 K 0.245 0.755 0.750
K2 K 0.755 0.245 0.250
Pa1 Pa 0.500 0.500 0.000
Pa2 Pa 0.500 0.500 0.500
Ni1 Ni 0.024 0.976 0.250
Ni2 Ni 0.976 0.024 0.750
Se1 Se 0.123 0.877 0.069
Se2 Se 0.123 0.877 0.431
Se3 Se 0.432 0.568 0.250
Se4 Se 0.568 0.432 0.750
Se5 Se 0.877 0.123 0.569
Se6 Se 0.877 0.123 0.931


(2)
# K2Pa2NiSe6, optimized geometry, DFT PBE
# E_form (uncorrected): -1123 meV per atom
# SG: No. 12
# Energy: -60.23 eV for the cell shown
data_K2Pa2NiSe6
_chemical_formula_sum 'K2 Pa2 Ni1 Se6'
_cell_length_a 7.180
_cell_length_b 7.180
_cell_length_c 8.249
_cell_angle_alpha 97.54
_cell_angle_beta 97.54
_cell_angle_gamma 123.45
_symmetry_space_group_name_H-M 'P 1'
_symmetry_Int_Tables_number 1
_symmetry_space_group_name_Hall 'P 1'
loop_
_atom_site_label
_atom_site_type_symbol
_atom_site_fract_x
_atom_site_fract_y
_atom_site_fract_z
K1 K 0.158 0.842 0.000
K2 K 0.842 0.158 0.000
Pa1 Pa 0.338 0.662 0.500
Pa2 Pa 0.662 0.338 0.500
Ni1 Ni 0.000 0.000 0.500
Se1 Se 0.059 0.412 0.701
Se2 Se 0.238 0.238 0.320
Se3 Se 0.412 0.059 0.701
Se4 Se 0.588 0.941 0.299
Se5 Se 0.762 0.762 0.680
Se6 Se 0.941 0.588 0.299


(3)
# K2PaNiSe4, optimized geometry, DFT PBE
# E_form (uncorrected): -995 meV per atom
# SG: No. 10
# Energy: -39.37 eV for the cell shown
data_K2PaNiSe4
_chemical_formula_sum 'K2 Pa1 Ni1 Se4'
_cell_length_a 6.587
_cell_length_b 4.218
_cell_length_c 8.114
_cell_angle_alpha 90.00
_cell_angle_beta 107.82
_cell_angle_gamma 90.00
_symmetry_space_group_name_H-M 'P 1'
_symmetry_Int_Tables_number 1
_symmetry_space_group_name_Hall 'P 1'
loop_
_atom_site_label
_atom_site_type_symbol
_atom_site_fract_x
_atom_site_fract_y
_atom_site_fract_z
K1 K 0.000 0.000 0.000
K2 K 0.500 0.500 0.000
Pa1 Pa 0.000 0.500 0.500
Ni1 Ni 0.500 0.000 0.500
Se1 Se 0.252 0.000 0.698
Se2 Se 0.275 0.500 0.307
Se3 Se 0.725 0.500 0.693
Se4 Se 0.748 0.000 0.302


(4)
# K3Pa3NiSe8, optimized geometry, DFT PBE
# E_form (uncorrected): -1154 meV per atom
# SG: No. 12
# Energy: -82.75 eV for the cell shown
data_K3Pa3NiSe8
_chemical_formula_sum 'K3 Pa3 Ni1 Se8'
_cell_length_a 8.133
_cell_length_b 8.133
_cell_length_c 9.104
_cell_angle_alpha 115.33
_cell_angle_beta 115.33
_cell_angle_gamma 61.52
_symmetry_space_group_name_H-M 'P 1'
_symmetry_Int_Tables_number 1
_symmetry_space_group_name_Hall 'P 1'
loop_
_atom_site_label
_atom_site_type_symbol
_atom_site_fract_x
_atom_site_fract_y
_atom_site_fract_z
K1 K 0.000 0.000 0.000
K2 K 0.000 0.500 0.000
K3 K 0.500 0.000 0.000
Pa1 Pa 0.000 0.500 0.500
Pa2 Pa 0.500 0.000 0.500
Pa3 Pa 0.500 0.500 0.500
Ni1 Ni 0.000 0.000 0.500
Se1 Se 0.211 0.211 0.683
Se2 Se 0.235 0.730 0.701
Se3 Se 0.262 0.262 0.288
Se4 Se 0.270 0.765 0.299
Se5 Se 0.730 0.235 0.701
Se6 Se 0.738 0.738 0.712
Se7 Se 0.765 0.270 0.299
Se8 Se 0.789 0.789 0.317


(5)
# K4Pa3NiSe8, optimized geometry, DFT PBE
# E_form (uncorrected): -1152 meV per atom
# SG: No. 12
# Energy: -84.97 eV for the cell shown
data_K4Pa3NiSe8
_chemical_formula_sum 'K4 Pa3 Ni1 Se8'
_cell_length_a 8.352
_cell_length_b 8.352
_cell_length_c 9.175
_cell_angle_alpha 117.62
_cell_angle_beta 117.62
_cell_angle_gamma 58.16
_symmetry_space_group_name_H-M 'P 1'
_symmetry_Int_Tables_number 1
_symmetry_space_group_name_Hall 'P 1'
loop_
_atom_site_label
_atom_site_type_symbol
_atom_site_fract_x
_atom_site_fract_y
_atom_site_fract_z
K1 K 0.000 0.000 0.000
K2 K 0.000 0.500 0.000
K3 K 0.500 0.000 0.000
K4 K 0.500 0.500 0.000
Pa1 Pa 0.000 0.000 0.500
Pa2 Pa 0.000 0.500 0.500
Pa3 Pa 0.500 0.000 0.500
Ni1 Ni 0.500 0.500 0.500
Se1 Se 0.235 0.235 0.713
Se2 Se 0.250 0.719 0.693
Se3 Se 0.255 0.255 0.285
Se4 Se 0.281 0.750 0.307
Se5 Se 0.719 0.250 0.693
Se6 Se 0.745 0.745 0.715
Se7 Se 0.750 0.281 0.307
Se8 Se 0.765 0.765 0.287


(6)
# KPaNiSe4, optimized geometry, DFT PBE
# E_form (uncorrected): -1030 meV per atom
# SG: No. 11
# Energy: -75.04 eV for the cell shown
data_KPaNiSe4
_chemical_formula_sum 'K2 Pa2 Ni2 Se8'
_cell_length_a 6.941
_cell_length_b 5.846
_cell_length_c 9.315
_cell_angle_alpha 90.00
_cell_angle_beta 106.33
_cell_angle_gamma 90.00
_symmetry_space_group_name_H-M 'P 1'
_symmetry_Int_Tables_number 1
_symmetry_space_group_name_Hall 'P 1'
loop_
_atom_site_label
_atom_site_type_symbol
_atom_site_fract_x
_atom_site_fract_y
_atom_site_fract_z
K1 K 0.250 0.250 0.052
K2 K 0.750 0.750 0.948
Pa1 Pa 0.269 0.250 0.555
Pa2 Pa 0.731 0.750 0.445
Ni1 Ni 0.253 0.750 0.341
Ni2 Ni 0.747 0.250 0.659
Se1 Se 0.014 0.508 0.705
Se2 Se 0.014 0.992 0.705
Se3 Se 0.425 0.750 0.593
Se4 Se 0.450 0.750 0.172
Se5 Se 0.550 0.250 0.828
Se6 Se 0.575 0.250 0.407
Se7 Se 0.986 0.008 0.295
Se8 Se 0.986 0.492 0.295


(7)
# KPaNiTe3, optimized geometry, DFT PBE
# E_form (uncorrected): -783 meV per atom
# SG: No. 11
# Energy: -61.00 eV for the cell shown
data_KPaNiTe3
_chemical_formula_sum 'K2 Pa2 Ni2 Te6'
_cell_length_a 9.756
_cell_length_b 4.179
_cell_length_c 10.464
_cell_angle_alpha 90.00
_cell_angle_beta 112.31
_cell_angle_gamma 90.00
_symmetry_space_group_name_H-M 'P 1'
_symmetry_Int_Tables_number 1
_symmetry_space_group_name_Hall 'P 1'
loop_
_atom_site_label
_atom_site_type_symbol
_atom_site_fract_x
_atom_site_fract_y
_atom_site_fract_z
K1 K 0.223 0.250 0.263
K2 K 0.777 0.750 0.737
Pa1 Pa 0.300 0.750 0.829
Pa2 Pa 0.700 0.250 0.171
Ni1 Ni 0.112 0.250 0.639
Ni2 Ni 0.888 0.750 0.361
Te1 Te 0.095 0.250 0.875
Te2 Te 0.181 0.750 0.525
Te3 Te 0.458 0.750 0.155
Te4 Te 0.542 0.250 0.845
Te5 Te 0.819 0.250 0.475
Te6 Te 0.905 0.750 0.125


(8)
# KPaNiTe4, optimized geometry, DFT PBE
# E_form (uncorrected): -694 meV per atom
# SG: No. 11
# Energy: -67.60 eV for the cell shown
data_KPaNiTe4
_chemical_formula_sum 'K2 Pa2 Ni2 Te8'
_cell_length_a 7.341
_cell_length_b 6.266
_cell_length_c 9.958
_cell_angle_alpha 90.00
_cell_angle_beta 106.47
_cell_angle_gamma 90.00
_symmetry_space_group_name_H-M 'P 1'
_symmetry_Int_Tables_number 1
_symmetry_space_group_name_Hall 'P 1'
loop_
_atom_site_label
_atom_site_type_symbol
_atom_site_fract_x
_atom_site_fract_y
_atom_site_fract_z
K1 K 0.234 0.250 0.049
K2 K 0.766 0.750 0.951
Pa1 Pa 0.275 0.250 0.558
Pa2 Pa 0.725 0.750 0.442
Ni1 Ni 0.277 0.750 0.349
Ni2 Ni 0.723 0.250 0.651
Te1 Te 0.006 0.000 0.704
Te2 Te 0.006 0.500 0.704
Te3 Te 0.427 0.750 0.605
Te4 Te 0.443 0.750 0.160
Te5 Te 0.557 0.250 0.840
Te6 Te 0.573 0.250 0.395
Te7 Te 0.994 0.000 0.296
Te8 Te 0.994 0.500 0.296


(9)
# K3Pa3NiTe8, optimized geometry, DFT PBE
# E_form (uncorrected): -761 meV per atom
# SG: No. 12
# Energy: -74.11 eV for the cell shown
data_K3Pa3NiTe8
_chemical_formula_sum 'K3 Pa3 Ni1 Te8'
_cell_length_a 8.654
_cell_length_b 8.654
_cell_length_c 9.904
_cell_angle_alpha 115.77
_cell_angle_beta 115.77
_cell_angle_gamma 60.15
_symmetry_space_group_name_H-M 'P 1'
_symmetry_Int_Tables_number 1
_symmetry_space_group_name_Hall 'P 1'
loop_
_atom_site_label
_atom_site_type_symbol
_atom_site_fract_x
_atom_site_fract_y
_atom_site_fract_z
K1 K 0.000 0.000 0.000
K2 K 0.000 0.500 0.000
K3 K 0.500 0.000 0.000
Pa1 Pa 0.000 0.500 0.500
Pa2 Pa 0.500 0.000 0.500
Pa3 Pa 0.500 0.500 0.500
Ni1 Ni 0.000 0.000 0.500
Te1 Te 0.219 0.219 0.693
Te2 Te 0.222 0.751 0.695
Te3 Te 0.249 0.778 0.305
Te4 Te 0.261 0.261 0.283
Te5 Te 0.739 0.739 0.717
Te6 Te 0.751 0.222 0.695
Te7 Te 0.778 0.249 0.305
Te8 Te 0.781 0.781 0.307


(10)
# KNi2Pb2, optimized geometry, DFT PBE
# E_form: 0.30 eV per atom
# Offset from the most stable computed form: 189 meV per atom
# SG: No. 127
# Energy: -37.16 eV for the cell shown
data_KNi2Pb2
_chemical_formula_sum 'K2 Ni4 Pb4'
_cell_length_a 8.454
_cell_length_b 8.454
_cell_length_c 3.130
_cell_angle_alpha 90.00
_cell_angle_beta 90.00
_cell_angle_gamma 90.00
_symmetry_space_group_name_H-M 'P 1'
_symmetry_Int_Tables_number 1
_symmetry_space_group_name_Hall 'P 1'
loop_
_atom_site_label
_atom_site_type_symbol
_atom_site_fract_x
_atom_site_fract_y
_atom_site_fract_z
K1 K 0.000 0.000 0.000
K2 K 0.500 0.500 0.000
Ni1 Ni 0.137 0.363 0.500
Ni2 Ni 0.363 0.863 0.500
Ni3 Ni 0.637 0.137 0.500
Ni4 Ni 0.863 0.637 0.500
Pb1 Pb 0.143 0.643 0.000
Pb2 Pb 0.357 0.143 0.000
Pb3 Pb 0.643 0.857 0.000
Pb4 Pb 0.857 0.357 0.000


(11)
# KNi2Pb2, optimized geometry, DFT PBE
# E_form: 0.24 eV per atom
# Offset from the most stable computed form: 125 meV per atom
# SG: No. 127
# Energy: -37.80 eV for the cell shown
data_KNi2Pb2
_chemical_formula_sum 'K2 Ni4 Pb4'
_cell_length_a 8.225
_cell_length_b 8.225
_cell_length_c 3.263
_cell_angle_alpha 90.00
_cell_angle_beta 90.00
_cell_angle_gamma 90.00
_symmetry_space_group_name_H-M 'P 1'
_symmetry_Int_Tables_number 1
_symmetry_space_group_name_Hall 'P 1'
loop_
_atom_site_label
_atom_site_type_symbol
_atom_site_fract_x
_atom_site_fract_y
_atom_site_fract_z
K1 K 0.000 0.000 0.000
K2 K 0.500 0.500 0.000
Ni1 Ni 0.119 0.381 0.000
Ni2 Ni 0.381 0.881 0.000
Ni3 Ni 0.619 0.119 0.000
Ni4 Ni 0.881 0.619 0.000
Pb1 Pb 0.154 0.654 0.500
Pb2 Pb 0.346 0.154 0.500
Pb3 Pb 0.654 0.846 0.500
Pb4 Pb 0.846 0.346 0.500


(12)
# KNi2Pb2, optimized geometry, DFT PBE
# E_form: 0.20 eV per atom
# Offset from the most stable computed form: 93 meV per atom
# SG: No. 139
# Energy: -19.06 eV for the cell shown
data_KNi2Pb2
_chemical_formula_sum 'K1 Ni2 Pb2'
_cell_length_a 6.112
_cell_length_b 6.112
_cell_length_c 6.112
_cell_angle_alpha 133.36
_cell_angle_beta 133.36
_cell_angle_gamma 68.08
_symmetry_space_group_name_H-M 'P 1'
_symmetry_Int_Tables_number 1
_symmetry_space_group_name_Hall 'P 1'
loop_
_atom_site_label
_atom_site_type_symbol
_atom_site_fract_x
_atom_site_fract_y
_atom_site_fract_z
K1 K 0.000 0.000 0.000
Ni1 Ni 0.382 0.382 0.000
Ni2 Ni 0.618 0.618 0.000
Pb1 Pb 0.250 0.750 0.500
Pb2 Pb 0.750 0.250 0.500


(13)
# KNi2Pb2, optimized geometry, DFT PBE
# E_form: 0.11 eV per atom
# Offset from the most stable computed form: 0 meV per atom
# SG: No. 139
# Energy: -19.53 eV for the cell shown
data_KNi2Pb2
_chemical_formula_sum 'K1 Ni2 Pb2'
_cell_length_a 6.596
_cell_length_b 6.596
_cell_length_c 6.596
_cell_angle_alpha 138.09
_cell_angle_beta 138.09
_cell_angle_gamma 60.76
_symmetry_space_group_name_H-M 'P 1'
_symmetry_Int_Tables_number 1
_symmetry_space_group_name_Hall 'P 1'
loop_
_atom_site_label
_atom_site_type_symbol
_atom_site_fract_x
_atom_site_fract_y
_atom_site_fract_z
K1 K 0.000 0.000 0.000
Ni1 Ni 0.250 0.750 0.500
Ni2 Ni 0.750 0.250 0.500
Pb1 Pb 0.348 0.348 0.000
Pb2 Pb 0.652 0.652 0.000


(14)
# KNiPb, optimized geometry, DFT PBE
# E_form: 0.19 eV per atom
# SG: No. 107
# Energy: -10.02 eV for the cell shown
data_KNiPb
_chemical_formula_sum 'K1 Ni1 Pb1'
_cell_length_a 6.769
_cell_length_b 6.769
_cell_length_c 6.769
_cell_angle_alpha 148.94
_cell_angle_beta 148.94
_cell_angle_gamma 44.49
_symmetry_space_group_name_H-M 'P 1'
_symmetry_Int_Tables_number 1
_symmetry_space_group_name_Hall 'P 1'
loop_
_atom_site_label
_atom_site_type_symbol
_atom_site_fract_x
_atom_site_fract_y
_atom_site_fract_z
K1 K 0.000 0.000 0.000
Ni1 Ni 0.713 0.713 0.000
Pb1 Pb 0.279 0.279 0.000


(15)
# KNiPb, optimized geometry, DFT PBE
# E_form: 0.47 eV per atom
# SG: No. 216
# Energy: -9.16 eV for the cell shown
data_KNiPb
_chemical_formula_sum 'K1 Ni1 Pb1'
_cell_length_a 4.888
_cell_length_b 4.888
_cell_length_c 4.888
_cell_angle_alpha 60.00
_cell_angle_beta 60.00
_cell_angle_gamma 60.00
_symmetry_space_group_name_H-M 'P 1'
_symmetry_Int_Tables_number 1
_symmetry_space_group_name_Hall 'P 1'
loop_
_atom_site_label
_atom_site_type_symbol
_atom_site_fract_x
_atom_site_fract_y
_atom_site_fract_z
K1 K 0.000 0.000 0.000
Ni1 Ni 0.750 0.750 0.750
Pb1 Pb 0.500 0.500 0.500


(16)
# KNiPb, optimized geometry, DFT PBE
# E_form: 0.21 eV per atom
# SG: No. 187
# Energy: -9.95 eV for the cell shown
data_KNiPb
_chemical_formula_sum 'K1 Ni1 Pb1'
_cell_length_a 4.431
_cell_length_b 4.431
_cell_length_c 5.533
_cell_angle_alpha 90.00
_cell_angle_beta 90.00
_cell_angle_gamma 120.00
_symmetry_space_group_name_H-M 'P 1'
_symmetry_Int_Tables_number 1
_symmetry_space_group_name_Hall 'P 1'
loop_
_atom_site_label
_atom_site_type_symbol
_atom_site_fract_x
_atom_site_fract_y
_atom_site_fract_z
K1 K 0.000 0.000 0.000
Ni1 Ni 0.333 0.667 0.500
Pb1 Pb 0.667 0.333 0.500


(17)
# KNiPb, optimized geometry, DFT PBE
# E_form: 0.04 eV per atom
# SG: No. 129
# Energy: -20.96 eV for the cell shown
data_KNiPb
_chemical_formula_sum 'K2 Ni2 Pb2'
_cell_length_a 4.761
_cell_length_b 4.761
_cell_length_c 7.714
_cell_angle_alpha 90.00
_cell_angle_beta 90.00
_cell_angle_gamma 90.00
_symmetry_space_group_name_H-M 'P 1'
_symmetry_Int_Tables_number 1
_symmetry_space_group_name_Hall 'P 1'
loop_
_atom_site_label
_atom_site_type_symbol
_atom_site_fract_x
_atom_site_fract_y
_atom_site_fract_z
K1 K 0.250 0.250 0.169
K2 K 0.750 0.750 0.831
Ni1 Ni 0.250 0.750 0.500
Ni2 Ni 0.750 0.250 0.500
Pb1 Pb 0.250 0.250 0.649
Pb2 Pb 0.750 0.750 0.351


(18)
# KNiPb, optimized geometry, DFT PBE
# E_form: 1.12 eV per atom
# SG: No. 216
# Energy: -7.22 eV for the cell shown
data_KNiPb
_chemical_formula_sum 'K1 Ni1 Pb1'
_cell_length_a 5.132
_cell_length_b 5.132
_cell_length_c 5.132
_cell_angle_alpha 60.00
_cell_angle_beta 60.00
_cell_angle_gamma 60.00
_symmetry_space_group_name_H-M 'P 1'
_symmetry_Int_Tables_number 1
_symmetry_space_group_name_Hall 'P 1'
loop_
_atom_site_label
_atom_site_type_symbol
_atom_site_fract_x
_atom_site_fract_y
_atom_site_fract_z
K1 K 0.000 0.000 0.000
Ni1 Ni 0.250 0.250 0.250
Pb1 Pb 0.750 0.750 0.750


(19)
# KNi3Pb, optimized geometry, DFT PBE
# E_form: 0.90 eV per atom
# Offset from the most stable computed form: 0 meV per atom
# SG: No. 221
# Energy: -17.63 eV for the cell shown
data_KNi3Pb
_chemical_formula_sum 'K1 Ni3 Pb1'
_cell_length_a 4.980
_cell_length_b 4.980
_cell_length_c 4.980
_cell_angle_alpha 90.00
_cell_angle_beta 90.00
_cell_angle_gamma 90.00
_symmetry_space_group_name_H-M 'P 1'
_symmetry_Int_Tables_number 1
_symmetry_space_group_name_Hall 'P 1'
loop_
_atom_site_label
_atom_site_type_symbol
_atom_site_fract_x
_atom_site_fract_y
_atom_site_fract_z
K1 K 0.000 0.000 0.000
Ni1 Ni 0.000 0.500 0.500
Ni2 Ni 0.500 0.000 0.500
Ni3 Ni 0.500 0.500 0.000
Pb1 Pb 0.500 0.500 0.500


(20)
# KNi3Pb, optimized geometry, DFT PBE
# E_form: 1.72 eV per atom
# Offset from the most stable computed form: 819 meV per atom
# SG: No. 221
# Energy: -13.54 eV for the cell shown
data_KNi3Pb
_chemical_formula_sum 'K1 Ni3 Pb1'
_cell_length_a 4.657
_cell_length_b 4.657
_cell_length_c 4.657
_cell_angle_alpha 90.00
_cell_angle_beta 90.00
_cell_angle_gamma 90.00
_symmetry_space_group_name_H-M 'P 1'
_symmetry_Int_Tables_number 1
_symmetry_space_group_name_Hall 'P 1'
loop_
_atom_site_label
_atom_site_type_symbol
_atom_site_fract_x
_atom_site_fract_y
_atom_site_fract_z
K1 K 0.000 0.000 0.000
Ni1 Ni 0.000 0.000 0.500
Ni2 Ni 0.000 0.500 0.000
Ni3 Ni 0.500 0.000 0.000
Pb1 Pb 0.500 0.500 0.500